Entry 1:
The following is a GGA-PBE calculation of a relaxed AcPrZnGe crystal, from Alexandria via LeMat-Bulk.

Values from the calculation:
- V: 27.570 Å³/atom
- Size of the total moment: 0.00 μB/f.u.
- Crystal system: cubic

Lattice parameters (Å, degrees): 7.612 7.612 7.612 90.00 90.00 90.00
Space group F-43m (No. 216)
Inequivalent atoms, fractional coordinates:
Ac: 0.000 0.000 0.000 (multiplicity 4)
Pr: 0.000 0.000 0.500 (multiplicity 4)
Zn: 0.250 0.250 0.750 (multiplicity 4)
Ge: 0.250 0.250 0.250 (multiplicity 4)

***

Entry 2:
The following is a GGA-PBE calculation of a relaxed Dy5Cd2Ir2 crystal, from Alexandria via LeMat-Bulk.

Values from the calculation:
- V: 25.708 Å³/atom
- Size of the total moment: 0.00 μB/f.u.
- Crystal system: orthorhombic

Lattice parameters (Å, degrees): 16.074 7.509 7.667 90.00 90.00 90.00
Space group Cmce (No. 64)
Inequivalent atoms, fractional coordinates:
Dy: 0.000 0.000 0.000 (multiplicity 4)
Dy: 0.118 0.172 0.328 (multiplicity 16)
Cd: 0.217 0.000 0.000 (multiplicity 8)
Ir: 0.000 0.131 0.633 (multiplicity 8)

***

no.,electronic total energy (eV/atom)
1,-4.138
2,-5.298